The following is a DFT calculation (GGA+U) of an optimized crystal structure of CoPdF.

Structure (extended XYZ):
```
6
Lattice="-3.539 2.875 -1.182 -1.084 -2.037 -1.708 -2.763 -2.541 4.785" Properties=species:S:1:pos:R:3 pbc="T T T"
F -5.828 -0.281 1.623
F -3.457 -0.721 3.056
Pd -4.437 1.432 -1.304
Pd -3.478 -0.543 0.442
Co -1.825 1.217 -0.292
Co -1.563 -1.256 2.491
```

Values from the calculation:
Relative energy among the computed polymorphs, eV/f.u.: 0.43
Fermi-level density of states, states/eV/cell: 1.39
Energy, eV/atom: -4.7277